## LiIr2Os (PBE)

Data for crystalline LiIr2Os at its relaxed geometry.

Cell and atoms, written as CIF:
```
data_LiIr2Os
_chemical_formula_sum 'Li2 Ir4 Os2'
_space_group_name_H-M_alt 'C 1 2/m 1'
_space_group_IT_number 12
_space_group_name_Hall '-C 2y'
_cell_length_a 8.9011
_cell_length_b 2.6790
_cell_length_c 4.6957
_cell_angle_alpha 90.00
_cell_angle_beta 97.30
_cell_angle_gamma 90.00
loop_
_atom_site_label
_atom_site_fract_x
_atom_site_fract_y
_atom_site_fract_z
Li1 0.0000 0.0000 0.0000
Ir1 0.2438 0.0000 0.7512
Os1 0.0000 0.5000 0.5000
```

As for the density of states at the Fermi level: 3.06 states/eV/f.u. The total energy is -7.674 eV/atom. The calculation puts the energy relative to the elements at 42 meV per atom. The polymorph energy (0 for the lowest one) comes out at 66 meV per atom.